Record 1
Entry from Alexandria: an optimized crystal structure of SbPbBr2 (PBE-GGA).

Geometry as CIF:
```
data_SbPbBr2
_chemical_formula_sum 'Sb3 Pb3 Br6'
_space_group_name_H-M_alt 'R 3 m'
_space_group_IT_number 160
_space_group_name_Hall 'R 3 -2"'
_cell_length_a 3.7422
_cell_length_b 3.7422
_cell_length_c 31.3630
_cell_angle_alpha 90.00
_cell_angle_beta 90.00
_cell_angle_gamma 120.00
loop_
_atom_site_label
_atom_site_type_symbol
_atom_site_fract_x
_atom_site_fract_y
_atom_site_fract_z
Sb1 Sb 0.0000 0.0000 0.0000
Pb1 Pb 0.0000 0.0000 0.2441
Br1 Br 0.0000 0.0000 0.5100
Br2 Br 0.0000 0.0000 0.7345
```

Values from the calculation:
The value obtained for the uncorrected formation energy is -0.6 eV/f.u. The value obtained for the spin magnetization is 0.00 μB per cell. The energy above the most stable polymorph in this dataset is 0.174 eV per atom.

=====

Record 2
Entry from Alexandria: an optimized crystal structure of SbPbBr2 (PBE-GGA).

Geometry as CIF:
```
data_SbPbBr2
_chemical_formula_sum 'Sb1 Pb1 Br2'
_space_group_name_H-M_alt 'P m m 2'
_space_group_IT_number 25
_space_group_name_Hall 'P 2 -2'
_cell_length_a 3.8047
_cell_length_b 5.3945
_cell_length_c 7.9545
_cell_angle_alpha 90.00
_cell_angle_beta 90.00
_cell_angle_gamma 90.00
loop_
_atom_site_label
_atom_site_type_symbol
_atom_site_fract_x
_atom_site_fract_y
_atom_site_fract_z
Sb1 Sb 0.0000 0.0000 0.0000
Pb1 Pb 0.5000 0.5000 0.9995
Br1 Br 0.0000 0.0000 0.6810
Br2 Br 0.5000 0.5000 0.3344
```

Values from the calculation:
The value obtained for the uncorrected formation energy is -1.3 eV/f.u. The value obtained for the spin magnetization is 0.00 μB per cell. The energy above the most stable polymorph in this dataset is 0.000 eV per atom.

=====

Record 3
Entry from Alexandria: an optimized crystal structure of Sb2PbBr (PBE-GGA).

Geometry as CIF:
```
data_Sb2PbBr
_chemical_formula_sum 'Sb2 Pb1 Br1'
_space_group_name_H-M_alt 'P m m m'
_space_group_IT_number 47
_space_group_name_Hall '-P 2 2'
_cell_length_a 3.3673
_cell_length_b 5.7496
_cell_length_c 6.3156
_cell_angle_alpha 90.00
_cell_angle_beta 90.00
_cell_angle_gamma 90.00
loop_
_atom_site_label
_atom_site_type_symbol
_atom_site_fract_x
_atom_site_fract_y
_atom_site_fract_z
Sb1 Sb 0.0000 0.0000 0.2257
Pb1 Pb 0.5000 0.5000 0.0000
Br1 Br 0.5000 0.5000 0.5000
```

Values from the calculation:
The value obtained for the uncorrected formation energy is 0.1 eV/f.u. The value obtained for the spin magnetization is 0.00 μB per cell. The energy above the most stable polymorph in this dataset is 0.200 eV per atom.

=====

Record 4
Entry from Alexandria: an optimized crystal structure of Sb2PbBr (PBE-GGA).

Geometry as CIF:
```
data_Sb2PbBr
_chemical_formula_sum 'Sb4 Pb2 Br2'
_space_group_name_H-M_alt 'I m m 2'
_space_group_IT_number 44
_space_group_name_Hall 'I 2 -2'
_cell_length_a 4.0616
_cell_length_b 6.1402
_cell_length_c 12.3184
_cell_angle_alpha 90.00
_cell_angle_beta 90.00
_cell_angle_gamma 90.00
loop_
_atom_site_label
_atom_site_type_symbol
_atom_site_fract_x
_atom_site_fract_y
_atom_site_fract_z
Sb1 Sb 0.0000 0.0000 0.0000
Sb2 Sb 0.0000 0.5000 0.3387
Pb1 Pb 0.0000 0.0000 0.4339
Br1 Br 0.0000 0.5000 0.7544
```

Values from the calculation:
The value obtained for the uncorrected formation energy is -0.3 eV/f.u. The value obtained for the spin magnetization is 0.00 μB per cell. The energy above the most stable polymorph in this dataset is 0.084 eV per atom.

=====

Record 5
Entry from Alexandria: an optimized crystal structure of SbPbBr2 (PBE-GGA).

Geometry as CIF:
```
data_SbPbBr2
_chemical_formula_sum 'Sb1 Pb1 Br2'
_space_group_name_H-M_alt 'P 4/m m m'
_space_group_IT_number 123
_space_group_name_Hall '-P 4 2'
_cell_length_a 3.5721
_cell_length_b 3.5721
_cell_length_c 11.8090
_cell_angle_alpha 90.00
_cell_angle_beta 90.00
_cell_angle_gamma 90.00
loop_
_atom_site_label
_atom_site_type_symbol
_atom_site_fract_x
_atom_site_fract_y
_atom_site_fract_z
Sb1 Sb 0.0000 0.0000 0.0000
Pb1 Pb 0.0000 0.0000 0.5000
Br1 Br 0.5000 0.5000 0.3420
```

Values from the calculation:
The value obtained for the uncorrected formation energy is -0.7 eV/f.u. The value obtained for the spin magnetization is 0.35 μB per cell. The energy above the most stable polymorph in this dataset is 0.142 eV per atom.

=====

Record 6
Entry from Alexandria: an optimized crystal structure of Sb2PbBr (PBE-GGA).

Geometry as CIF:
```
data_Sb2PbBr
_chemical_formula_sum 'Sb8 Pb4 Br4'
_space_group_name_H-M_alt 'F m -3 m'
_space_group_IT_number 225
_space_group_name_Hall '-F 4 2 3'
_cell_length_a 7.6469
_cell_length_b 7.6469
_cell_length_c 7.6469
_cell_angle_alpha 90.00
_cell_angle_beta 90.00
_cell_angle_gamma 90.00
loop_
_atom_site_label
_atom_site_type_symbol
_atom_site_fract_x
_atom_site_fract_y
_atom_site_fract_z
Sb1 Sb 0.2500 0.2500 0.2500
Pb1 Pb 0.0000 0.0000 0.0000
Br1 Br 0.0000 0.0000 0.5000
```

Values from the calculation:
The value obtained for the uncorrected formation energy is 0.7 eV/f.u. The value obtained for the spin magnetization is 0.00 μB per cell. The energy above the most stable polymorph in this dataset is 0.329 eV per atom.

=====

Record 7
Entry from Alexandria: an optimized crystal structure of SbPbBr2 (PBE-GGA).

Geometry as CIF:
```
data_SbPbBr2
_chemical_formula_sum 'Sb4 Pb4 Br8'
_space_group_name_H-M_alt 'F -4 3 m'
_space_group_IT_number 216
_space_group_name_Hall 'F -4 2 3'
_cell_length_a 7.6609
_cell_length_b 7.6609
_cell_length_c 7.6609
_cell_angle_alpha 90.00
_cell_angle_beta 90.00
_cell_angle_gamma 90.00
loop_
_atom_site_label
_atom_site_type_symbol
_atom_site_fract_x
_atom_site_fract_y
_atom_site_fract_z
Sb1 Sb 0.0000 0.0000 0.0000
Pb1 Pb 0.2500 0.2500 0.2500
Br1 Br 0.0000 0.0000 0.5000
Br2 Br 0.2500 0.2500 0.7500
```

Values from the calculation:
The value obtained for the uncorrected formation energy is -0.1 eV/f.u. The value obtained for the spin magnetization is 0.00 μB per cell. The energy above the most stable polymorph in this dataset is 0.281 eV per atom.

=====

Record 8
Entry from Alexandria: an optimized crystal structure of Sb2PbBr8 (PBE-GGA).

Geometry as CIF:
```
data_Sb2PbBr8
_chemical_formula_sum 'Sb4 Pb2 Br16'
_space_group_name_H-M_alt 'C 1 2/m 1'
_space_group_IT_number 12
_space_group_name_Hall '-C 2y'
_cell_length_a 14.0809
_cell_length_b 7.9121
_cell_length_c 9.1306
_cell_angle_alpha 90.00
_cell_angle_beta 92.49
_cell_angle_gamma 90.00
loop_
_atom_site_label
_atom_site_type_symbol
_atom_site_fract_x
_atom_site_fract_y
_atom_site_fract_z
Sb1 Sb 0.1405 0.0000 0.3688
Pb1 Pb 0.0000 0.0000 0.0000
Br1 Br 0.0799 0.0000 0.7025
Br2 Br 0.1437 0.2406 0.1666
Br3 Br 0.1783 0.5000 0.5752
```

Values from the calculation:
The value obtained for the uncorrected formation energy is -6.9 eV/f.u. The value obtained for the spin magnetization is 0.00 μB per cell. The energy above the most stable polymorph in this dataset is 0.000 eV per atom.

=====

- Which value of energy above the most stable polymorph in this dataset does entry 4 give?
  0.084 eV per atom

=====

- The highest spin magnetization belongs to which entry?
  number 5

=====

- Look up the spin magnetization of the first one.
  0.00 μB per cell

=====

- energy above the most stable polymorph in this dataset of number 5 (SbPbBr2)?
  0.142 eV per atom